# 1
VASP calculation (GGA-PBE) on a relaxed Na2VCrHg crystal.

Geometry as CIF:
```
data_Na2VCrHg
_symmetry_space_group_name_H-M 'P 1'
_symmetry_Int_Tables_number 1
_cell_length_a 5.4759
_cell_length_b 5.4759
_cell_length_c 5.2627
_cell_angle_alpha 90.00
_cell_angle_beta 90.00
_cell_angle_gamma 90.00
loop_
_symmetry_equiv_pos_as_xyz
'x,y,z'
loop_
_atom_site_label
_atom_site_type_symbol
_atom_site_fract_x
_atom_site_fract_y
_atom_site_fract_z
Na1 Na 0.0000 0.5000 0.0000
Na2 Na 0.5000 0.0000 0.0000
V1 V 0.0000 0.0000 0.5000
Cr1 Cr 0.5000 0.5000 0.0000
Hg1 Hg 0.5000 0.5000 0.5000
```

Summary:
Calculated volume, Å³/atom: 31.6
DFT formation energy, eV per atom: 1.251


# 2
VASP calculation (GGA-PBE) on a relaxed NaZnCrHg2 crystal.

Geometry as CIF:
```
data_NaZnCrHg2
_symmetry_space_group_name_H-M 'P 1'
_symmetry_Int_Tables_number 1
_cell_length_a 5.1718
_cell_length_b 5.1718
_cell_length_c 5.0390
_cell_angle_alpha 90.00
_cell_angle_beta 90.00
_cell_angle_gamma 90.00
loop_
_symmetry_equiv_pos_as_xyz
'x,y,z'
loop_
_atom_site_label
_atom_site_type_symbol
_atom_site_fract_x
_atom_site_fract_y
_atom_site_fract_z
Na1 Na 0.0000 0.0000 0.0000
Zn1 Zn 0.5000 0.5000 0.5000
Cr1 Cr 0.5000 0.5000 0.0000
Hg1 Hg 0.0000 0.5000 0.5000
Hg2 Hg 0.5000 0.0000 0.5000
```

Summary:
Calculated volume, Å³/atom: 27.0
DFT formation energy, eV per atom: 0.415


# 3
VASP calculation (GGA-PBE) on a relaxed NbCrHg2 crystal.

Geometry as CIF:
```
data_NbCrHg2
_symmetry_space_group_name_H-M 'P 1'
_symmetry_Int_Tables_number 1
_cell_length_a 5.9924
_cell_length_b 5.9924
_cell_length_c 5.9924
_cell_angle_alpha 102.32
_cell_angle_beta 102.32
_cell_angle_gamma 124.98
loop_
_symmetry_equiv_pos_as_xyz
'x,y,z'
loop_
_atom_site_label
_atom_site_type_symbol
_atom_site_fract_x
_atom_site_fract_y
_atom_site_fract_z
Nb1 Nb 0.0000 0.0000 0.0000
Nb2 Nb 0.7500 0.2500 0.5000
Cr1 Cr 0.2500 0.7500 0.5000
Cr2 Cr 0.5000 0.5000 0.0000
Hg1 Hg 0.1472 0.6250 0.0222
Hg2 Hg 0.3750 0.3972 0.5222
Hg3 Hg 0.6028 0.1250 0.9778
Hg4 Hg 0.8750 0.8528 0.4778
```

Summary:
Calculated volume, Å³/atom: 19.5
Energy above the lowest structure with this stoichiometry, kJ/mol of formula units: 182
DFT formation energy, eV per atom: 0.953